MgAlCo2 GGA-PBEsol relaxed; space group = Cm (8); E_tot = -5.41 eV per atom; ΔE_f = -0.093 eV per atom
1.0
4.571 -1.365 0.000
4.571 1.365 0.000
-1.444 0.000 4.010
Mg Al Co
1 1 2
Direct
0.000 0.000 0.000 Mg
0.217 0.217 0.641 Al
0.473 0.473 0.488 Co
0.756 0.756 0.168 Co